LiAl at its PBEsol-relaxed geometry. Source: the Alexandria database, functional SCAN.

Cell lengths 2.829, 2.829, 9.217 Å; angles 90.00, 90.00, 120.00 degrees
Element x y z (fractional)
Al 0.667 0.333 0.750
Al 0.333 0.667 0.250
Li 0.000 0.000 0.000
Li 0.000 0.000 0.500

## Properties
total energy	-20.6	eV/cell
N(E_F)	0.37	states/eV per atom


Cs2AlReW at its PBEsol-relaxed geometry. Source: the Alexandria database, functional SCAN.

Cell lengths 4.596, 6.784, 6.784 Å; angles 90.00, 90.00, 90.00 degrees
Element x y z (fractional)
Cs 0.000 0.000 0.500
Cs 0.000 0.500 0.000
Re 0.500 0.000 0.000
Al 0.500 0.500 0.500
W 0.000 0.000 0.000

## Properties
total energy	-214.2	eV/cell
N(E_F)	0.93	states/eV per atom


AlTlCu2 at its PBEsol-relaxed geometry. Source: the Alexandria database, functional SCAN.

Cell lengths 3.079, 3.053, 6.762 Å; angles 90.00, 90.00, 90.00 degrees
Element x y z (fractional)
Al 0.500 0.500 0.500
Cu 0.000 0.000 0.695
Cu 0.000 0.000 0.305
Tl 0.500 0.500 0.000

## Properties
total energy	-110.1	eV/cell
N(E_F)	0.32	states/eV per atom


BaCoRe2 at its PBEsol-relaxed geometry. Source: the Alexandria database, functional SCAN.

Cell lengths 4.222, 4.222, 6.318 Å; angles 70.48, 70.48, 60.00 degrees
Element x y z (fractional)
Re 0.987 0.987 0.039
Re 0.689 0.689 0.932
Co 0.313 0.313 0.062
Ba 0.495 0.495 0.515

## Properties
total energy	-197.1	eV/cell
N(E_F)	0.95	states/eV per atom


For each record above, in turn, the calculated calculated density values are 1.76 5.20 9.36 10.49 g/cm³.
For each record above, in turn, the calculated formation enthalpy at 0 K values are -67 1995 97 490 meV/atom.
For each record above, in turn, the calculated magnetization values are 0.0 1.2 0.0 1.5 μB/f.u..